Version a
This record from OQMD describes PrSiHO4 after structural relaxation. The functional is GGA-PBE.

abc: 5.075 6.714 4.597
angles: 90.00 97.15 90.00
Fractional coordinates of all 14 atoms:
O 0.112 0.560 0.298
O 0.295 0.750 0.797
O 0.888 0.440 0.702
O 0.600 0.750 0.377
O 0.400 0.250 0.623
O 0.112 0.940 0.298
O 0.888 0.060 0.702
O 0.705 0.250 0.203
H 0.000 0.000 0.500
H 0.000 0.500 0.500
Pr 0.214 0.250 0.067
Pr 0.786 0.750 0.933
Si 0.704 0.250 0.557
Si 0.296 0.750 0.443

Crystal system: monoclinic
Space-group type: P2_1/m

Version b
This record from OQMD describes PrSiHO4 after structural relaxation. The functional is GGA-PBE.

abc: 9.509 9.509 13.632
angles: 90.00 90.00 120.00
Fractional coordinates of all 84 atoms:
O 0.615 0.971 0.333
O 0.971 0.356 0.666
O 0.029 0.385 0.001
O 0.166 0.131 0.567
O 0.736 0.263 0.554
O 0.965 0.131 0.433
O 0.834 0.869 0.567
O 0.644 0.615 0.999
O 0.566 0.856 0.985
O 0.566 0.710 0.682
O 0.473 0.737 0.446
O 0.385 0.356 0.334
O 0.834 0.965 0.100
O 0.971 0.615 0.001
O 0.737 0.264 0.779
O 0.710 0.144 0.015
O 0.356 0.971 0.667
O 0.290 0.434 0.652
O 0.615 0.644 0.334
O 0.263 0.736 0.779
O 0.434 0.290 0.682
O 0.434 0.144 0.985
O 0.473 0.736 0.221
O 0.869 0.834 0.766
O 0.856 0.566 0.348
O 0.736 0.473 0.113
O 0.264 0.737 0.554
O 0.290 0.856 0.015
O 0.144 0.710 0.318
O 0.264 0.527 0.113
O 0.131 0.166 0.766
O 0.869 0.035 0.900
O 0.035 0.166 0.234
O 0.144 0.434 0.348
O 0.737 0.473 0.887
O 0.710 0.566 0.652
O 0.263 0.527 0.887
O 0.029 0.644 0.666
O 0.965 0.834 0.234
O 0.527 0.263 0.446
O 0.385 0.029 0.333
O 0.035 0.869 0.433
O 0.356 0.385 0.999
O 0.856 0.290 0.318
O 0.644 0.029 0.667
O 0.527 0.264 0.221
O 0.166 0.035 0.100
O 0.131 0.965 0.900
Pr 0.497 0.748 0.833
Pr 0.503 0.252 0.833
Pr 0.711 0.000 0.500
Pr 0.252 0.748 0.167
Pr 0.289 0.289 0.167
Pr 0.000 0.711 0.833
Pr 0.748 0.252 0.167
Pr 0.000 0.289 0.833
Pr 0.252 0.503 0.500
Pr 0.289 0.000 0.500
Pr 0.748 0.497 0.500
Pr 0.711 0.711 0.167
Si 0.757 0.000 0.000
Si 0.757 0.757 0.667
Si 0.533 0.767 0.333
Si 0.767 0.233 0.667
Si 0.233 0.767 0.667
Si 0.000 0.757 0.333
Si 0.233 0.467 0.000
Si 0.243 0.243 0.667
Si 0.467 0.233 0.333
Si 0.000 0.243 0.333
Si 0.243 0.000 0.000
Si 0.767 0.533 0.000
H 0.500 0.500 0.667
H 0.500 0.500 0.334
H 0.500 0.000 0.332
H 0.000 0.500 0.333
H 0.000 0.500 0.666
H 0.000 0.500 0.001
H 0.000 0.000 0.500
H 0.500 0.500 0.999
H 0.500 0.000 0.668
H 0.000 0.000 0.167
H 0.000 0.000 0.833
H 0.500 0.000 0.000

Crystal system: hexagonal
Space-group type: P6_422

Version c
This record from OQMD describes PrSiHO4 after structural relaxation. The functional is GGA-PBE.

abc: 8.770 8.770 8.770
angles: 110.50 110.50 110.50
Fractional coordinates of all 42 atoms:
H 0.419 0.482 0.171
H 0.980 0.896 0.681
H 0.681 0.980 0.896
H 0.482 0.171 0.419
H 0.171 0.419 0.482
H 0.896 0.681 0.980
O 0.290 0.348 0.090
O 0.103 0.095 0.712
O 0.204 0.481 0.865
O 0.865 0.204 0.481
O 0.095 0.712 0.103
O 0.701 0.370 0.984
O 0.414 0.351 0.723
O 0.762 0.610 0.860
O 0.860 0.926 0.226
O 0.984 0.701 0.370
O 0.351 0.723 0.414
O 0.926 0.226 0.860
O 0.370 0.984 0.701
O 0.618 0.638 0.248
O 0.090 0.290 0.348
O 0.860 0.762 0.610
O 0.248 0.618 0.638
O 0.348 0.090 0.290
O 0.723 0.414 0.351
O 0.712 0.103 0.095
O 0.610 0.860 0.762
O 0.481 0.865 0.204
O 0.638 0.248 0.618
O 0.226 0.860 0.926
Si 0.129 0.287 0.869
Si 0.792 0.624 0.378
Si 0.624 0.378 0.792
Si 0.869 0.129 0.287
Si 0.287 0.869 0.129
Si 0.378 0.792 0.624
Pr 0.521 0.685 0.950
Pr 0.685 0.950 0.521
Pr 0.455 0.172 0.019
Pr 0.950 0.521 0.685
Pr 0.172 0.019 0.455
Pr 0.019 0.455 0.172

Crystal system: trigonal
Space-group type: R3

Result of the stability comparison: version a is the most stable of them.